Here is a crystal of HgRhSe2 relaxed with PBEsol from the Alexandria database. Energies are from meta-GGA SCAN.

The structure belongs to space group P2/m (No. 10); the cell edges are 4.7287, 3.6385 and 5.3702 Å and the angles 90.00°, 114.42° and 90.00°. Symmetry generates all atoms from Hg at (0.0000, 0.0000, 0.0000), Rh at (0.0000, 0.0000, 0.5000) and Se at (0.3745, 0.5000, 0.6623).

The formation energy without anion corrections comes out at -293 meV per atom.


Here is a crystal of HgRhSe relaxed with PBEsol from the Alexandria database. Energies are from meta-GGA SCAN.

The structure belongs to space group F-43m (No. 216); the cell edges are 6.1889, 6.1889 and 6.1889 Å and the angles 90.00°, 90.00° and 90.00°. Symmetry generates all atoms from Hg at (0.0000, 0.0000, 0.0000), Rh at (0.2500, 0.2500, 0.7500) and Se at (0.0000, 0.0000, 0.5000).

The formation energy without anion corrections comes out at 141 meV per atom.


Here is a crystal of HgRhSe2 relaxed with PBEsol from the Alexandria database. Energies are from meta-GGA SCAN.

The structure belongs to space group R-3m (No. 166, hexagonal axes); the cell edges are 3.6756, 3.6756 and 20.9551 Å and the angles 90.00°, 90.00° and 120.00°. Symmetry generates all atoms from Hg at (0.0000, 0.0000, 0.0000), Rh at (0.0000, 0.0000, 0.5000) and Se at (0.0000, 0.0000, 0.2282).

The formation energy without anion corrections comes out at -320 meV per atom.


Here is a crystal of HgRh2Se2 relaxed with PBEsol from the Alexandria database. Energies are from meta-GGA SCAN.

The structure belongs to space group I4/mmm (No. 139); the cell edges are 3.8615, 3.8615 and 14.2515 Å and the angles 90.00°, 90.00° and 90.00°. Symmetry generates all atoms from Hg at (0.0000, 0.0000, 0.0000), Rh at (0.0000, 0.5000, 0.2500) and Se at (0.0000, 0.0000, 0.3543).

The formation energy without anion corrections comes out at -226 meV per atom.


Here is a crystal of Hg2RhSe relaxed with PBEsol from the Alexandria database. Energies are from meta-GGA SCAN.

The structure belongs to space group Immm (No. 71); the cell edges are 3.7579, 4.3187 and 8.9855 Å and the angles 90.00°, 90.00° and 90.00°. Symmetry generates all atoms from Hg at (0.0000, 0.0000, 0.2433), Rh at (0.0000, 0.5000, 0.5000) and Se at (0.0000, 0.5000, 0.0000).

The formation energy without anion corrections comes out at 343 meV per atom.


Here is a crystal of HgRhSe2 relaxed with PBEsol from the Alexandria database. Energies are from meta-GGA SCAN.

The structure belongs to space group P4mm (No. 99); the cell edges are 3.6653, 3.6653 and 6.0394 Å and the angles 90.00°, 90.00° and 90.00°. Symmetry generates all atoms from Hg at (0.0000, 0.0000, 0.0000), Rh at (0.5000, 0.5000, 0.4490), Se at (0.0000, 0.0000, 0.4377) and Se at (0.5000, 0.5000, 0.8385).

The formation energy without anion corrections comes out at 31 meV per atom.


Here is a crystal of SnHg2RhSe relaxed with PBEsol from the Alexandria database. Energies are from meta-GGA SCAN.

The structure belongs to space group P4/mmm (No. 123); the cell edges are 5.1027, 5.1027 and 4.9617 Å and the angles 90.00°, 90.00° and 90.00°. Symmetry generates all atoms from Sn at (0.0000, 0.0000, 0.0000), Hg at (0.0000, 0.5000, 0.5000), Rh at (0.0000, 0.0000, 0.5000) and Se at (0.5000, 0.5000, 0.0000).

The formation energy without anion corrections comes out at 201 meV per atom.


Here is a crystal of HgTe2RhSe relaxed with PBEsol from the Alexandria database. Energies are from meta-GGA SCAN.

The structure belongs to space group P4/mmm (No. 123); the cell edges are 5.4533, 5.4533 and 5.0262 Å and the angles 90.00°, 90.00° and 90.00°. Symmetry generates all atoms from Hg at (0.0000, 0.0000, 0.0000), Te at (0.0000, 0.5000, 0.0000), Rh at (0.5000, 0.5000, 0.5000) and Se at (0.0000, 0.0000, 0.5000).

The formation energy without anion corrections comes out at 1232 meV per atom.